Entry from Alexandria: an optimized crystal structure of HgTe8Rh5 (PBE).

Values from the calculation:
- M_tot: 0.000 μB/atom

Cell lengths 20.7077, 4.0434, 8.7992 Å; angles 90.00, 103.64, 90.00 degrees
Last column: nearest neighbours and their distance in Å.
Space group Cm (No. 8)
Symmetry-distinct sites (fractional):
Hg  0.0000  0.0000  0.0000 x2  6 Te 3.61-3.71
Te  0.0701  0.0000  0.6535 x2  4 Rh 2.64-2.74
Te  0.0887  0.5000  0.3223 x2  3 Rh 2.66-2.70
Te  0.1778  0.5000  0.9971 x2  3 Rh 2.65-2.67
Te  0.2341  0.5000  0.6491 x2  5 Rh 2.69-2.78
Te  0.2645  0.0000  0.3528 x2  5 Rh 2.69-2.78
Te  0.3209  0.0000  0.0049 x2  3 Rh 2.65-2.67
Te  0.4098  0.0000  0.6800 x2  3 Rh 2.66-2.70
Te  0.4286  0.5000  0.3489 x2  4 Rh 2.64-2.74
Rh  0.1576  0.0000  0.4777 x2  6 Te 2.64-2.78, 1 Rh 2.91
Rh  0.2004  0.0000  0.8174 x2  6 Te 2.65-2.74, 1 Rh 2.91
Rh  0.2983  0.5000  0.1845 x2  6 Te 2.65-2.74, 1 Rh 2.91
Rh  0.3410  0.5000  0.5244 x2  6 Te 2.64-2.78, 1 Rh 2.91
Rh  0.4993  0.0000  0.5014 x2  6 Te 2.66-2.70

---

Entry from Alexandria: an optimized crystal structure of HgTe8Rh4 (PBE).

Values from the calculation:
- M_tot: 0.000 μB/atom

Cell lengths 7.8914, 7.8914, 21.4042 Å; angles 90.00, 90.00, 120.00 degrees
Last column: nearest neighbours and their distance in Å.
Space group R-3m (No. 166, hexagonal axes)
Symmetry-distinct sites (fractional):
Hg  0.0000  0.0000  0.0000 x3  6 Te 3.14
Te  0.0000  0.0000  0.2329 x6  3 Rh 2.68
Te  0.0037  0.5018  0.7687 x18  3 Rh 2.65-2.69
Rh  0.0000  0.0000  0.5000 x3  6 Te 2.69
Rh  0.0000  0.5000  0.5000 x9  6 Te 2.65-2.68

---

no.,total energy (eV per atom),raw formation energy (eV per atom)
1,-4.791,-0.35
2,-4.522,-0.30